Entry 1:
The following is a GGA-PBEsol calculation of a relaxed Na2OsO crystal, from the Alexandria database.

a = 3.707 Å, b = 7.123 Å, c = 7.123 Å
α = 86.12°, β = 74.92°, γ = 74.92°
Element x y z (fractional)
O1 0.250 0.500 0.500
Na1 0.446 0.679 0.179
O2 0.500 0.000 0.000
Na2 0.875 0.821 0.679
Os1 0.750 0.500 0.500
Os2 0.000 0.000 0.000
Na3 0.375 0.179 0.321
Na4 0.304 0.321 0.821

Values from the calculation:
Spin magnetization ... 0.00 μB/cell
E_tot ... -5.1154 eV per atom
Uncorrected formation energy ... -5 kJ/mol of atoms
V ... 175 Å³/cell

---

Entry 2:
The following is a GGA-PBEsol calculation of a relaxed Na5OsO6 crystal, from the Alexandria database.

a = 5.577 Å, b = 5.623 Å, c = 5.623 Å
α = 119.54°, β = 100.25°, γ = 100.25°
Site moments in Bohr magnetons follow the coordinates.
Element x y z (fractional)
Na1 0.000 0.667 0.333  0.01
O1 0.206 0.796 0.796  0.03
O2 0.794 0.204 0.204  0.03
Na2 0.000 0.333 0.667  0.01
O3 0.216 0.351 0.071  0.04
O4 0.784 0.649 0.929  0.04
Na3 0.500 0.500 0.500  0.01
Na4 0.500 0.826 0.174  0.00
O5 0.784 0.929 0.649  0.04
O6 0.216 0.071 0.351  0.04
Na5 0.500 0.174 0.826  0.00
Os1 0.000 0.000 0.000  0.65

Values from the calculation:
Spin magnetization ... 1.04 μB/cell
E_tot ... -5.6698 eV per atom
Uncorrected formation energy ... -139 kJ/mol of atoms
V ... 143 Å³/cell